Entry 1:
The following is a PBE-GGA calculation of a relaxed CaTaRe2 crystal, from Alexandria.

## Properties
Polymorph energy (0 for the lowest one): 17.37 kcal/mol of atoms
Symmetry: No. 122

abc: 7.5127 7.5127 6.0135
angles: 51.34 51.34 90.00
With the nearest neighbours (Å) after each atom.
Positions (direct):
Re1 0.3750 0.3405 0.7500  2 Ta 2.58, 2 Re 2.87
Ca1 0.2500 0.7500 0.5000  2 Ta 2.82, 4 Re 2.93
Re2 0.0905 0.6250 0.2500  2 Ta 2.58, 2 Re 2.87
Ta1 0.7500 0.2500 0.5000  4 Re 2.58, 2 Ca 2.82
Re3 0.6595 0.1250 0.2500  2 Ta 2.58, 2 Re 2.87
Ca2 0.5000 0.5000 0.0000  2 Ta 2.82, 4 Re 2.93
Re4 0.8750 0.9095 0.7500  2 Ta 2.58, 2 Re 2.87
Ta2 0.0000 0.0000 0.0000  4 Re 2.58, 2 Ca 2.82

***

Entry 2:
The following is a PBE-GGA calculation of a relaxed CaTaRe crystal, from Alexandria.

## Properties
Polymorph energy (0 for the lowest one): 4.44 kcal/mol of atoms
Symmetry: No. 42

abc: 7.8003 7.5784 2.9740
angles: 83.08 74.68 22.24
With the nearest neighbours (Å) after each atom.
Positions (direct):
Ta1 0.6876 0.6876 0.3124  2 Re 2.58
Ca1 0.9910 0.9910 0.0090  6 Ca 2.97-3.30, 2 Re 3.00
Re1 0.3214 0.3214 0.6786  2 Ta 2.58

***

Entry 3:
The following is a PBE-GGA calculation of a relaxed CaTaRe2 crystal, from Alexandria.

## Properties
Polymorph energy (0 for the lowest one): 4.75 kcal/mol of atoms
Symmetry: No. 225

abc: 4.6353 4.6353 4.6353
angles: 60.00 60.00 60.00
With the nearest neighbours (Å) after each atom.
Positions (direct):
Ta1 0.5000 0.5000 0.5000  8 Re 2.84
Re1 0.7500 0.7500 0.7500  4 Ca 2.84, 4 Ta 2.84
Re2 0.2500 0.2500 0.2500  4 Ta 2.84, 4 Ca 2.84
Ca1 0.0000 0.0000 0.0000  8 Re 2.84

***

Entry 4:
The following is a PBE-GGA calculation of a relaxed CaTaRe2 crystal, from Alexandria.

## Properties
Polymorph energy (0 for the lowest one): 2.30 kcal/mol of atoms
Symmetry: No. 44

abc: 5.6099 5.6099 4.8121
angles: 64.57 64.57 32.25
With the nearest neighbours (Å) after each atom.
Positions (direct):
Ca1 0.2558 0.2558 0.2442  6 Re 2.87-3.02, 2 Ta 3.09, 2 Ca 3.12
Re1 0.0236 0.0236 0.9765  2 Re 2.61, 4 Ta 2.90
Ta1 0.4793 0.4793 0.5205  6 Re 2.77-2.90, 2 Ca 3.09
Re2 0.7412 0.7412 0.7588  2 Re 2.61, 2 Ta 2.77, 4 Ca 2.87

***

Entry 5:
The following is a PBE-GGA calculation of a relaxed CaTaRe2 crystal, from Alexandria.

## Properties
Polymorph energy (0 for the lowest one): 1.15 kcal/mol of atoms
Symmetry: No. 99

abc: 3.0236 3.0236 8.6090
angles: 90.00 90.00 90.00
With the nearest neighbours (Å) after each atom.
Positions (direct):
Re1 0.5000 0.5000 0.2231  4 Re 2.58, 4 Ta 2.85
Ca1 0.5000 0.5000 0.7801  4 Ca 3.02, 4 Re 3.19
Ta1 0.0000 0.0000 0.4425  4 Re 2.85, 4 Ta 3.02
Re2 0.0000 0.0000 0.0543  4 Re 2.58

***

Entry 6:
The following is a PBE-GGA calculation of a relaxed CaTaRe2 crystal, from Alexandria.

## Properties
Polymorph energy (0 for the lowest one): 5.69 kcal/mol of atoms
Symmetry: No. 216

abc: 4.6106 4.6106 4.6106
angles: 60.00 60.00 60.00
With the nearest neighbours (Å) after each atom.
Positions (direct):
Re1 0.7500 0.7500 0.7500  4 Re 2.82, 4 Ca 2.82
Ta1 0.2500 0.2500 0.2500  4 Ca 2.82, 4 Re 2.82
Ca1 0.5000 0.5000 0.5000  4 Re 2.82, 4 Ta 2.82
Re2 0.0000 0.0000 0.0000  4 Ta 2.82, 4 Re 2.82

***

Entry 7:
The following is a PBE-GGA calculation of a relaxed CaTaRe2 crystal, from Alexandria.

## Properties
Polymorph energy (0 for the lowest one): 2.89 kcal/mol of atoms
Symmetry: No. 10

abc: 4.4079 2.8028 6.1750
angles: 81.27 90.00 90.00
With the nearest neighbours (Å) after each atom.
Positions (direct):
Re1 0.0000 0.5028 0.4501  3 Re 2.64-2.80, 2 Ta 2.67
Ca1 0.5000 0.7500 0.7500  2 Ca 2.80, 4 Re 3.03
Re2 0.0000 0.9972 0.0499  3 Re 2.64-2.80, 2 Ta 2.67
Ta1 0.5000 0.2500 0.2500  4 Re 2.67, 2 Ta 2.80

***

Entry 8:
The following is a PBE-GGA calculation of a relaxed Ca4TaRe crystal, from Alexandria.

## Properties
Symmetry: No. 216

abc: 6.0814 6.0814 6.0814
angles: 60.00 60.00 60.00
With the nearest neighbours (Å) after each atom.
Positions (direct):
Ta1 0.0000 0.0000 0.0000  12 Ca 3.57, 4 Re 3.72
Ca1 0.3755 0.8735 0.3755  6 Ca 3.03-3.05
Re1 0.7500 0.7500 0.7500  12 Ca 3.56, 4 Ta 3.72
Ca2 0.8735 0.3755 0.3755  6 Ca 3.03-3.05
Ca3 0.3755 0.3755 0.8735  6 Ca 3.03-3.05
Ca4 0.3755 0.3755 0.3755  6 Ca 3.03-3.05

***

| no. | calculated formation energy (kJ per mole of atoms) | VASP energy (eV per cell) | V (Å³/f.u.) |
| --- | --- | --- | --- |
| 1 | 104.8 | -68.81 | 80 |
| 2 | 47.6 | -24.82 | 60 |
| 3 | 52.0 | -36.60 | 70 |
| 4 | 41.7 | -37.02 | 72 |
| 5 | 36.9 | -37.22 | 79 |
| 6 | 55.9 | -36.43 | 69 |
| 7 | 44.2 | -36.92 | 75 |
| 8 | 144.2 | -23.34 | 159 |